The following is a DFT calculation (GGA-PBE) of a relaxed structure of LaPr15Nd4.

The density comes out at 6.5 g/cm3. As for the space group: P4/mmm, No. 123. Its energy of formation from the pure elements is 0.012 eV per atom. The calculation puts the calculated total energy at -95.44 eV for the cell shown. The total magnetization is 0.000 Bohr magnetons per cell.

Cell lengths 5.258, 5.258, 26.205 Å; angles 90.00, 90.00, 90.00 degrees
Fractional positions:
1 La 0.000 0.000 0.000
2 Pr 0.000 0.500 0.101
3 Pr 0.000 0.500 0.300
4 Pr 0.000 0.500 0.500
5 Pr 0.000 0.500 0.700
6 Pr 0.000 0.500 0.899
7 Pr 0.500 0.000 0.101
8 Pr 0.500 0.000 0.300
9 Pr 0.500 0.000 0.500
10 Pr 0.500 0.000 0.700
11 Pr 0.500 0.000 0.899
12 Pr 0.500 0.500 0.000
13 Pr 0.500 0.500 0.201
14 Pr 0.500 0.500 0.400
15 Pr 0.500 0.500 0.600
16 Pr 0.500 0.500 0.799
17 Nd 0.000 0.000 0.200
18 Nd 0.000 0.000 0.400
19 Nd 0.000 0.000 0.600
20 Nd 0.000 0.000 0.800